1.
Computed, not measured: a relaxed Rb2HoCd2Te4 crystal at the PBE-GGA level of DFT. Values from VASP.

The structure in Quantum ESPRESSO input format:
```
&SYSTEM
  ibrav = 0, nat = 9, ntyp = 4
/
ATOMIC_SPECIES
Rb 85.47 Rb.upf
Ho 164.93 Ho.upf
Cd 112.41 Cd.upf
Te 127.60 Te.upf
ATOMIC_POSITIONS crystal
Rb 0.127 0.127 0.070
Rb 0.873 0.873 0.930
Ho 0.000 0.000 0.500
Cd 0.312 0.312 0.493
Cd 0.688 0.688 0.507
Te 0.187 0.187 0.717
Te 0.480 0.480 0.724
Te 0.520 0.520 0.276
Te 0.813 0.813 0.283
CELL_PARAMETERS angstrom
8.830 -2.245 0.000
8.830 2.245 0.000
-3.583 0.000 8.281
```

Calculated values
Raw formation energy (kJ/mol of atoms): -83.6
Crystal system: monoclinic

***

2.
Computed, not measured: a relaxed HoCdRh crystal at the PBE-GGA level of DFT. Values from VASP.

The structure in Quantum ESPRESSO input format:
```
&SYSTEM
  ibrav = 0, nat = 6, ntyp = 3
/
ATOMIC_SPECIES
Ho 164.93 Ho.upf
Cd 112.41 Cd.upf
Rh 102.91 Rh.upf
ATOMIC_POSITIONS crystal
Ho 0.201 0.799 0.750
Ho 0.799 0.201 0.250
Cd 0.500 0.500 0.000
Cd 0.500 0.500 0.500
Rh 0.106 0.894 0.250
Rh 0.894 0.106 0.750
CELL_PARAMETERS angstrom
2.221 -4.882 0.000
2.221 4.882 0.000
0.000 0.000 5.773
```

Calculated values
Crystal system: orthorhombic

***

3.
Computed, not measured: a relaxed Ho4CdRh crystal at the PBE-GGA level of DFT. Values from VASP.

The structure in Quantum ESPRESSO input format:
```
&SYSTEM
  ibrav = 0, nat = 6, ntyp = 3
/
ATOMIC_SPECIES
Ho 164.93 Ho.upf
Cd 112.41 Cd.upf
Rh 102.91 Rh.upf
ATOMIC_POSITIONS crystal
Ho 0.000 0.499 0.225
Ho 0.000 0.501 0.775
Ho 0.499 0.000 0.225
Ho 0.501 0.000 0.775
Cd 0.000 0.000 0.500
Rh 0.500 0.500 0.000
CELL_PARAMETERS angstrom
3.440 -3.440 0.000
3.440 3.440 0.000
-0.019 0.000 7.301
```

Calculated values
Distance to the lowest polymorph of the same formula (eV/atom): 0.263
Crystal system: monoclinic

***

4.
Computed, not measured: a relaxed HoCdRh crystal at the PBE-GGA level of DFT. Values from VASP.

The structure in Quantum ESPRESSO input format:
```
&SYSTEM
  ibrav = 0, nat = 3, ntyp = 3
/
ATOMIC_SPECIES
Ho 164.93 Ho.upf
Cd 112.41 Cd.upf
Rh 102.91 Rh.upf
ATOMIC_POSITIONS crystal
Ho 0.000 0.000 0.000
Cd 0.699 0.699 0.000
Rh 0.357 0.357 0.000
CELL_PARAMETERS angstrom
-1.757 1.757 5.012
1.757 -1.757 5.012
1.757 1.757 -5.012
```

Calculated values
Crystal system: tetragonal

***

5.
Computed, not measured: a relaxed Ho7Cd2Rh2 crystal at the PBE-GGA level of DFT. Values from VASP.

The structure in Quantum ESPRESSO input format:
```
&SYSTEM
  ibrav = 0, nat = 11, ntyp = 3
/
ATOMIC_SPECIES
Ho 164.93 Ho.upf
Cd 112.41 Cd.upf
Rh 102.91 Rh.upf
ATOMIC_POSITIONS crystal
Ho 0.000 0.000 0.000
Ho 0.000 0.500 0.251
Ho 0.000 0.500 0.749
Ho 0.500 0.000 0.251
Ho 0.500 0.000 0.749
Ho 0.500 0.500 0.245
Ho 0.500 0.500 0.755
Cd 0.177 0.177 0.500
Cd 0.823 0.823 0.500
Rh 0.289 0.711 0.000
Rh 0.711 0.289 0.000
CELL_PARAMETERS angstrom
3.987 -5.429 0.000
3.987 5.429 0.000
0.000 0.000 7.113
```

Calculated values
Crystal system: orthorhombic

***

6.
Computed, not measured: a relaxed HoCd2Rh crystal at the PBE-GGA level of DFT. Values from VASP.

The structure in Quantum ESPRESSO input format:
```
&SYSTEM
  ibrav = 0, nat = 4, ntyp = 3
/
ATOMIC_SPECIES
Ho 164.93 Ho.upf
Cd 112.41 Cd.upf
Rh 102.91 Rh.upf
ATOMIC_POSITIONS crystal
Ho 0.000 0.000 0.000
Cd 0.098 0.098 0.098
Cd 0.902 0.902 0.902
Rh 0.500 0.500 0.500
CELL_PARAMETERS angstrom
1.543 0.891 10.657
-1.543 0.891 10.657
0.000 -1.781 10.657
```

Calculated values
Crystal system: trigonal

***

7.
Computed, not measured: a relaxed Ho6Cd2Rh crystal at the PBE-GGA level of DFT. Values from VASP.

The structure in Quantum ESPRESSO input format:
```
&SYSTEM
  ibrav = 0, nat = 18, ntyp = 3
/
ATOMIC_SPECIES
Ho 164.93 Ho.upf
Cd 112.41 Cd.upf
Rh 102.91 Rh.upf
ATOMIC_POSITIONS crystal
Ho 0.149 0.002 0.247
Ho 0.149 0.498 0.747
Ho 0.218 0.700 0.039
Ho 0.218 0.800 0.539
Ho 0.346 0.188 0.043
Ho 0.346 0.312 0.543
Ho 0.654 0.688 0.457
Ho 0.654 0.812 0.957
Ho 0.782 0.200 0.461
Ho 0.782 0.300 0.961
Ho 0.851 0.502 0.253
Ho 0.851 0.998 0.753
Cd 0.290 0.083 0.750
Cd 0.290 0.417 0.250
Cd 0.710 0.583 0.750
Cd 0.710 0.917 0.250
Rh 0.500 0.000 0.500
Rh 0.500 0.500 0.000
CELL_PARAMETERS angstrom
6.917 0.000 0.000
0.000 7.253 0.000
-6.791 0.000 10.313
```

Calculated values
Crystal system: monoclinic

***

8.
Computed, not measured: a relaxed Ho6CdRh2 crystal at the PBE-GGA level of DFT. Values from VASP.

The structure in Quantum ESPRESSO input format:
```
&SYSTEM
  ibrav = 0, nat = 18, ntyp = 3
/
ATOMIC_SPECIES
Ho 164.93 Ho.upf
Cd 112.41 Cd.upf
Rh 102.91 Rh.upf
ATOMIC_POSITIONS crystal
Ho 0.039 0.239 0.801
Ho 0.181 0.286 0.468
Ho 0.181 0.714 0.895
Ho 0.328 0.021 0.693
Ho 0.328 0.634 0.307
Ho 0.438 0.239 0.199
Ho 0.562 0.761 0.801
Ho 0.672 0.366 0.693
Ho 0.672 0.979 0.307
Ho 0.819 0.286 0.105
Ho 0.819 0.714 0.532
Ho 0.961 0.761 0.199
Cd 0.000 0.000 0.000
Cd 0.500 0.500 0.000
Rh 0.132 0.632 0.500
Rh 0.333 0.000 0.333
Rh 0.667 0.000 0.667
Rh 0.868 0.368 0.500
CELL_PARAMETERS angstrom
-4.663 4.760 5.183
4.663 -4.760 5.183
4.663 4.760 -5.183
```

Calculated values
Crystal system: orthorhombic

***

9.
Computed, not measured: a relaxed Ho6CdRh crystal at the PBE-GGA level of DFT. Values from VASP.

The structure in Quantum ESPRESSO input format:
```
&SYSTEM
  ibrav = 0, nat = 8, ntyp = 3
/
ATOMIC_SPECIES
Ho 164.93 Ho.upf
Cd 112.41 Cd.upf
Rh 102.91 Rh.upf
ATOMIC_POSITIONS crystal
Ho 0.039 0.079 0.254
Ho 0.293 0.714 0.253
Ho 0.323 0.539 0.747
Ho 0.677 0.461 0.253
Ho 0.707 0.286 0.747
Ho 0.961 0.921 0.746
Cd 0.500 0.000 0.000
Rh 0.500 0.500 0.500
CELL_PARAMETERS angstrom
6.853 0.000 0.000
-3.417 5.958 0.000
-3.402 -1.980 6.204
```

Calculated values
Crystal system: triclinic

***

10.
Computed, not measured: a relaxed HoCdRh crystal at the PBE-GGA level of DFT. Values from VASP.

The structure in Quantum ESPRESSO input format:
```
&SYSTEM
  ibrav = 0, nat = 12, ntyp = 3
/
ATOMIC_SPECIES
Ho 164.93 Ho.upf
Cd 112.41 Cd.upf
Rh 102.91 Rh.upf
ATOMIC_POSITIONS crystal
Ho 0.071 0.712 0.000
Ho 0.288 0.071 0.500
Ho 0.712 0.929 0.500
Ho 0.929 0.288 0.000
Cd 0.346 0.375 0.000
Cd 0.375 0.654 0.500
Cd 0.625 0.346 0.500
Cd 0.654 0.625 0.000
Rh 0.130 0.400 0.500
Rh 0.400 0.870 0.000
Rh 0.600 0.130 0.000
Rh 0.870 0.600 0.500
CELL_PARAMETERS angstrom
7.983 0.000 0.000
0.000 7.983 0.000
0.000 0.000 4.262
```

Calculated values
Crystal system: tetragonal

***

11.
Computed, not measured: a relaxed HoCd4Rh2 crystal at the PBE-GGA level of DFT. Values from VASP.

The structure in Quantum ESPRESSO input format:
```
&SYSTEM
  ibrav = 0, nat = 7, ntyp = 3
/
ATOMIC_SPECIES
Ho 164.93 Ho.upf
Cd 112.41 Cd.upf
Rh 102.91 Rh.upf
ATOMIC_POSITIONS crystal
Ho 0.000 0.000 0.000
Cd 0.178 0.822 0.500
Cd 0.324 0.676 0.000
Cd 0.676 0.324 0.000
Cd 0.822 0.178 0.500
Rh 0.428 0.572 0.500
Rh 0.572 0.428 0.500
CELL_PARAMETERS angstrom
2.080 -8.523 0.000
2.080 8.523 0.000
0.000 0.000 4.167
```

Calculated values
Crystal system: orthorhombic

***

12.
Computed, not measured: a relaxed Ho11Cd9Rh4 crystal at the PBE-GGA level of DFT. Values from VASP.

The structure in Quantum ESPRESSO input format:
```
&SYSTEM
  ibrav = 0, nat = 24, ntyp = 3
/
ATOMIC_SPECIES
Ho 164.93 Ho.upf
Cd 112.41 Cd.upf
Rh 102.91 Rh.upf
ATOMIC_POSITIONS crystal
Ho 0.000 0.000 0.000
Ho 0.084 0.417 0.000
Ho 0.162 0.838 0.000
Ho 0.302 0.302 0.000
Ho 0.368 0.632 0.000
Ho 0.417 0.084 0.000
Ho 0.583 0.916 0.000
Ho 0.632 0.368 0.000
Ho 0.698 0.698 0.000
Ho 0.838 0.162 0.000
Ho 0.916 0.583 0.000
Cd 0.068 0.214 0.500
Cd 0.151 0.634 0.500
Cd 0.214 0.068 0.500
Cd 0.366 0.849 0.500
Cd 0.500 0.500 0.500
Cd 0.634 0.151 0.500
Cd 0.786 0.932 0.500
Cd 0.849 0.366 0.500
Cd 0.932 0.786 0.500
Rh 0.257 0.453 0.500
Rh 0.453 0.257 0.500
Rh 0.547 0.743 0.500
Rh 0.743 0.547 0.500
CELL_PARAMETERS angstrom
7.199 -10.799 0.000
7.199 10.799 0.000
0.000 0.000 3.669
```

Calculated values
Crystal system: orthorhombic

***

Calculated electronic total energy (eV per atom), listed in the same order as above: -3.189; -4.883; -4.671; -4.792; -4.774; -3.224; -4.327; -5.324; -4.537; -4.730; -3.498; -4.205
Calculated total moment (μB per cell), listed in the same order as above: 0.000; 0.000; 0.000; 0.000; 0.000; 0.000; 0.000; 0.000; 0.000; 0.000; 0.000; 0.000